# ScCr2SbO6 | the Alexandria database | PBE with a Hubbard U | optimized geometry
data_ScCr2SbO6
_symmetry_space_group_name_H-M 'P 1'
_symmetry_Int_Tables_number 1
_symmetry_space_group_name_Hall 'P 1'
_cell_length_a 5.399
_cell_length_b 5.400
_cell_length_c 5.564
_cell_angle_alpha 60.98
_cell_angle_beta 60.97
_cell_angle_gamma 60.00
loop_
_atom_site_label
_atom_site_type_symbol
_atom_site_fract_x
_atom_site_fract_y
_atom_site_fract_z
O1 O 0.729 0.138 0.740
Sc1 Sc 0.808 0.808 0.576
O2 O 0.229 0.857 0.240
O3 O 0.857 0.673 0.240
Cr1 Cr 0.516 0.516 0.451
O4 O 0.138 0.393 0.740
Cr2 Cr 0.017 0.017 0.949
Sb1 Sb 0.300 0.301 0.098
O5 O 0.673 0.229 0.240
O6 O 0.393 0.729 0.740
# Calculated total energy, eV per cell: -76.1
# ρ, Mg/m³: 5.23
# Spin magnetization, μB per formula unit: 6.00